(1)
Density functional theory data (PBE) for a geometry-optimized Li2HPbAu structure.

The structure in CIF format:
```
data_Li2HPbAu
_chemical_formula_sum 'Li2 H1 Pb1 Au1'
_space_group_name_H-M_alt 'P 4/m m m'
_space_group_IT_number 123
_space_group_name_Hall '-P 4 2'
_cell_length_a 4.577
_cell_length_b 4.577
_cell_length_c 3.715
_cell_angle_alpha 90.00
_cell_angle_beta 90.00
_cell_angle_gamma 90.00
loop_
_atom_site_label
_atom_site_type_symbol
_atom_site_fract_x
_atom_site_fract_y
_atom_site_fract_z
Li1 Li 0.000 0.500 0.000
H1 H 0.000 0.000 0.000
Pb1 Pb 0.500 0.500 0.500
Au1 Au 0.000 0.000 0.500
```

N(E_F): 2.391 states/eV per cell
E above lowest polymorph: 0.00 eV/f.u.

---

(2)
Density functional theory data (PBE) for a geometry-optimized Li2H6PdAu structure.

The structure in CIF format:
```
data_Li2H6PdAu
_chemical_formula_sum 'Li2 H6 Pd1 Au1'
_space_group_name_H-M_alt 'P -1'
_space_group_IT_number 2
_space_group_name_Hall '-P 1'
_cell_length_a 5.014
_cell_length_b 5.023
_cell_length_c 5.044
_cell_angle_alpha 119.81
_cell_angle_beta 119.66
_cell_angle_gamma 90.13
loop_
_atom_site_label
_atom_site_type_symbol
_atom_site_fract_x
_atom_site_fract_y
_atom_site_fract_z
Li1 Li 0.247 0.247 0.496
H1 H 0.200 0.219 0.006
H2 H 0.240 0.747 0.483
H3 H 0.283 0.701 0.998
Pd1 Pd 0.000 0.500 0.000
Au1 Au 0.500 0.000 0.000
```

E_tot: -3.415 eV per atom
N(E_F): 0.667 states/eV per cell

---

(3)
Density functional theory data (PBE) for a geometry-optimized Li3HPd3Au2 structure.

The structure in CIF format:
```
data_Li3HPd3Au2
_chemical_formula_sum 'Li3 H1 Pd3 Au2'
_space_group_name_H-M_alt 'P -6 2 m'
_space_group_IT_number 189
_space_group_name_Hall 'P -6 -2'
_cell_length_a 7.0620
_cell_length_b 7.0620
_cell_length_c 2.8492
_cell_angle_alpha 90.00
_cell_angle_beta 90.00
_cell_angle_gamma 120.00
loop_
_atom_site_label
_atom_site_type_symbol
_atom_site_fract_x
_atom_site_fract_y
_atom_site_fract_z
Li1 Li 0.0000 0.3757 0.0000
H1 H 0.0000 0.0000 0.0000
Pd1 Pd 0.0000 0.7741 0.5000
Au1 Au 0.3333 0.6667 0.5000
```

E_tot: -3.805 eV per atom
N(E_F): 2.264 states/eV per cell

---

(4)
Density functional theory data (PBE) for a geometry-optimized LiHPd2Au structure.

The structure in CIF format:
```
data_LiHPd2Au
_chemical_formula_sum 'Li1 H1 Pd2 Au1'
_space_group_name_H-M_alt 'P 4/m m m'
_space_group_IT_number 123
_space_group_name_Hall '-P 4 2'
_cell_length_a 3.977
_cell_length_b 3.977
_cell_length_c 4.115
_cell_angle_alpha 90.00
_cell_angle_beta 90.00
_cell_angle_gamma 90.00
loop_
_atom_site_label
_atom_site_type_symbol
_atom_site_fract_x
_atom_site_fract_y
_atom_site_fract_z
Li1 Li 0.000 0.000 0.000
H1 H 0.500 0.500 0.500
Pd1 Pd 0.000 0.500 0.500
Au1 Au 0.500 0.500 0.000
```

N(E_F): 1.285 states/eV per cell
E above lowest polymorph: 0.43 eV/f.u.

---

(5)
Density functional theory data (PBE) for a geometry-optimized LiHPdAu structure.

The structure in CIF format:
```
data_LiHPdAu
_chemical_formula_sum 'Li2 H2 Pd2 Au2'
_space_group_name_H-M_alt 'A m m 2'
_space_group_IT_number 38
_space_group_name_Hall 'A 2 -2'
_cell_length_a 2.902
_cell_length_b 4.161
_cell_length_c 8.497
_cell_angle_alpha 90.00
_cell_angle_beta 90.00
_cell_angle_gamma 90.00
loop_
_atom_site_label
_atom_site_type_symbol
_atom_site_fract_x
_atom_site_fract_y
_atom_site_fract_z
Li1 Li 0.000 0.000 0.000
H1 H 0.500 0.000 0.436
Pd1 Pd 0.000 0.000 0.316
Au1 Au 0.500 0.000 0.660
```

E_tot: -3.722 eV per atom
N(E_F): 1.655 states/eV per cell

---

(6)
Density functional theory data (PBE) for a geometry-optimized LiHPd2Au structure.

The structure in CIF format:
```
data_LiHPd2Au
_chemical_formula_sum 'Li1 H1 Pd2 Au1'
_space_group_name_H-M_alt 'P 4/m m m'
_space_group_IT_number 123
_space_group_name_Hall '-P 4 2'
_cell_length_a 4.288
_cell_length_b 4.288
_cell_length_c 4.347
_cell_angle_alpha 90.00
_cell_angle_beta 90.00
_cell_angle_gamma 90.00
loop_
_atom_site_label
_atom_site_type_symbol
_atom_site_fract_x
_atom_site_fract_y
_atom_site_fract_z
Li1 Li 0.000 0.000 0.000
H1 H 0.500 0.500 0.500
Pd1 Pd 0.000 0.500 0.000
Au1 Au 0.000 0.000 0.500
```

N(E_F): 2.839 states/eV per cell
E above lowest polymorph: 6.04 eV/f.u.

---

(7)
Density functional theory data (PBE) for a geometry-optimized LiHPdAu2 structure.

The structure in CIF format:
```
data_LiHPdAu2
_chemical_formula_sum 'Li1 H1 Pd1 Au2'
_space_group_name_H-M_alt 'P 4/m m m'
_space_group_IT_number 123
_space_group_name_Hall '-P 4 2'
_cell_length_a 4.258
_cell_length_b 4.258
_cell_length_c 3.770
_cell_angle_alpha 90.00
_cell_angle_beta 90.00
_cell_angle_gamma 90.00
loop_
_atom_site_label
_atom_site_type_symbol
_atom_site_fract_x
_atom_site_fract_y
_atom_site_fract_z
Li1 Li 0.000 0.000 0.000
H1 H 0.500 0.500 0.500
Pd1 Pd 0.500 0.500 0.000
Au1 Au 0.000 0.500 0.500
```

N(E_F): 0.728 states/eV per cell
E above lowest polymorph: 0.00 eV/f.u.

---

(8)
Density functional theory data (PBE) for a geometry-optimized LiHPd2Au structure.

The structure in CIF format:
```
data_LiHPd2Au
_chemical_formula_sum 'Li1 H1 Pd2 Au1'
_space_group_name_H-M_alt 'P 4/m m m'
_space_group_IT_number 123
_space_group_name_Hall '-P 4 2'
_cell_length_a 3.937
_cell_length_b 3.937
_cell_length_c 4.113
_cell_angle_alpha 90.00
_cell_angle_beta 90.00
_cell_angle_gamma 90.00
loop_
_atom_site_label
_atom_site_type_symbol
_atom_site_fract_x
_atom_site_fract_y
_atom_site_fract_z
Li1 Li 0.000 0.000 0.000
H1 H 0.000 0.000 0.500
Pd1 Pd 0.000 0.500 0.500
Au1 Au 0.500 0.500 0.000
```

N(E_F): 2.810 states/eV per cell
E above lowest polymorph: 0.00 eV/f.u.

---

> Among the records above, which one has the lowest N(E_F)?

Li2H6PdAu